No. 1
## BaCa2Ag (GGA-PBE)

Data for a geometry-optimized BaCa2Ag structure.

Structure (POSCAR):
```
BaCa2Ag
1.0
-0.3648 -6.8178 2.7253
2.1257 -7.0316 -0.2825
4.5626 -1.4963 3.8844
Ca Ba Ag
2 1 1
Direct
0.0549 0.0549 0.9451 Ca
0.4451 0.4451 0.5549 Ca
0.2500 0.2500 0.2500 Ba
0.7500 0.7500 0.7500 Ag
```

Computed properties:
Energy relative to the elements ... -0.50 eV/f.u.
Polymorph energy (0 for the lowest one) ... 41 meV per atom
Space group ... C2/m (12)
M_tot ... 0.000 μB/atom
E_tot ... -2.320 eV/atom

=====

No. 2
## BaCa3Ag2 (GGA-PBE)

Data for a geometry-optimized BaCa3Ag2 structure.

Structure (POSCAR):
```
BaCa3Ag2
1.0
-3.8912 1.8387 1.5153
-1.5531 -0.9026 -9.7621
-2.0105 -8.8136 5.5318
Ba Ca Ag
2 6 4
Direct
0.1224 0.2448 0.1501 Ba
0.8776 0.7552 0.8499 Ba
0.6791 0.3583 0.8975 Ca
0.0348 0.0696 0.6848 Ca
0.3453 0.6905 0.4938 Ca
0.6547 0.3095 0.5062 Ca
0.9652 0.9304 0.3152 Ca
0.3209 0.6417 0.1025 Ca
0.5127 0.0254 0.8679 Ag
0.4873 0.9746 0.1321 Ag
0.2183 0.4367 0.7400 Ag
0.7817 0.5633 0.2600 Ag
```

Computed properties:
Energy relative to the elements ... -1.07 eV/f.u.
Space group ... C2/m (12)
M_tot ... 0.000 μB/atom
E_tot ... -2.449 eV/atom

=====

No. 3
## Ba12CaAg5 (GGA-PBE)

Data for a geometry-optimized Ba12CaAg5 structure.

Structure (POSCAR):
```
Ba12CaAg5
1.0
9.5929 -0.1601 -3.8984
-4.9837 8.6388 -2.7895
-0.2285 0.1601 10.3523
Ba Ca Ag
12 1 5
Direct
0.5340 0.8201 0.7140 Ba
0.4660 0.1799 0.2860 Ba
0.8939 0.1799 0.7140 Ba
0.1061 0.8201 0.2860 Ba
0.6904 0.6772 0.3676 Ba
0.3096 0.3228 0.6324 Ba
0.3096 0.6772 0.9868 Ba
0.6904 0.3228 0.0132 Ba
0.8106 0.5923 0.7817 Ba
0.1894 0.4077 0.2183 Ba
0.1894 0.9711 0.7817 Ba
0.8106 0.0289 0.2183 Ba
0.0000 0.5000 0.5000 Ca
0.6332 0.6332 0.0000 Ag
0.3668 0.3668 0.0000 Ag
0.5000 0.1151 0.6151 Ag
0.5000 0.8849 0.3849 Ag
0.0000 0.0000 0.0000 Ag
```

Computed properties:
Energy relative to the elements ... -2.47 eV/f.u.
Space group ... Immm (71)
M_tot ... 0.000 μB/atom
E_tot ... -2.322 eV/atom

=====

No. 4
## BaCa2Ag9 (GGA-PBE)

Data for a geometry-optimized BaCa2Ag9 structure.

Structure (POSCAR):
```
BaCa2Ag9
1.0
-3.6420 2.2221 3.9862
-2.3352 -3.4679 4.0758
5.2537 1.3377 8.3305
Ba Ca Ag
1 2 9
Direct
0.0000 0.0000 0.0000 Ba
0.8555 0.8555 0.4336 Ca
0.1445 0.1445 0.5664 Ca
0.6670 0.6670 0.9989 Ag
0.3330 0.3330 0.0011 Ag
0.5000 0.5000 0.5000 Ag
0.4134 0.4134 0.2559 Ag
0.9173 0.4134 0.2559 Ag
0.4134 0.9173 0.2559 Ag
0.5866 0.5866 0.7441 Ag
0.5866 0.0827 0.7441 Ag
0.0827 0.5866 0.7441 Ag
```

Computed properties:
Energy relative to the elements ... -2.53 eV/f.u.
Space group ... R-3m (166)
M_tot ... 0.000 μB/atom
E_tot ... -2.843 eV/atom